An optimized crystal structure of ErCuOs, computed with GGA-PBE.

a b c (Å): 4.4690 4.4690 4.4690
angles (deg): 60.00 60.00 60.00
With the nearest neighbours (Å) after each atom.
Element x y z (fractional)
Er1 0.0000 0.0000 0.0000  4 Cu 2.74, 4 Os 2.74
Cu1 0.7500 0.7500 0.7500  4 Er 2.74
Os1 0.2500 0.2500 0.2500  4 Er 2.74

Values from the calculation:
Energy = -5.52 eV/atom
E above lowest polymorph = 857 meV per atom
Symmetry = F-43m (216)
Volume = 63 Å³/f.u.
Formation energy from the elements = 986 meV per atom